# 1
A plane-wave DFT calculation with PBE-GGA was carried out for an optimized crystal structure of Mg9In2Pb.

```
data_Mg9In2Pb
_cell_length_a 4.528
_cell_length_b 4.528
_cell_length_c 13.531
_cell_angle_alpha 90.00
_cell_angle_beta 90.00
_cell_angle_gamma 90.00
_symmetry_space_group_name_H-M 'P 4/m m m'
_symmetry_Int_Tables_number 123
_symmetry_space_group_name_Hall '-P 4 2'
loop_
_atom_site_label
_atom_site_type_symbol
_atom_site_fract_x
_atom_site_fract_y
_atom_site_fract_z
Mg1 Mg 0.000 0.000 0.000
Mg2 Mg 0.000 0.000 0.336
Mg3 Mg 0.000 0.500 0.171
Mg4 Mg 0.000 0.500 0.500
In1 In 0.500 0.500 0.334
Pb1 Pb 0.500 0.500 0.000
```

Results
Total moment (μB/f.u.): 0.00
Fermi-level density of states (states/eV per cell): 4.42
Uncorrected energy (eV per atom): -2.0344
Energy relative to the elements (eV/atom): -0.073



# 2
A plane-wave DFT calculation with PBE-GGA was carried out for an optimized crystal structure of Hf2BI.

```
data_Hf2BI
_cell_length_a 6.648
_cell_length_b 6.648
_cell_length_c 6.648
_cell_angle_alpha 90.00
_cell_angle_beta 90.00
_cell_angle_gamma 90.00
_symmetry_space_group_name_H-M 'F m -3 m'
_symmetry_Int_Tables_number 225
_symmetry_space_group_name_Hall '-F 4 2 3'
loop_
_atom_site_label
_atom_site_type_symbol
_atom_site_fract_x
_atom_site_fract_y
_atom_site_fract_z
Hf1 Hf 0.250 0.250 0.250
B1 B 0.000 0.000 0.000
I1 I 0.000 0.000 0.500
```

Results
Total moment (μB/f.u.): 0.00
Fermi-level density of states (states/eV per cell): 28.82
Formation energy from raw total energies (eV/atom): 0.568
Offset from the most stable computed form (eV/atom): 0.336
Uncorrected energy (eV per atom): -6.4658



# 3
A plane-wave DFT calculation with PBE-GGA was carried out for an optimized crystal structure of BeInS3.

```
data_BeInS3
_cell_length_a 4.421
_cell_length_b 4.421
_cell_length_c 4.421
_cell_angle_alpha 90.00
_cell_angle_beta 90.00
_cell_angle_gamma 90.00
_symmetry_space_group_name_H-M 'P m -3 m'
_symmetry_Int_Tables_number 221
_symmetry_space_group_name_Hall '-P 4 2 3'
loop_
_atom_site_label
_atom_site_type_symbol
_atom_site_fract_x
_atom_site_fract_y
_atom_site_fract_z
Be1 Be 0.000 0.000 0.000
In1 In 0.500 0.500 0.500
S1 S 0.000 0.000 0.500
```

Results
Total moment (μB/f.u.): 0.00
Fermi-level density of states (states/eV per cell): 5.16
Formation energy from raw total energies (eV/atom): 0.138
Offset from the most stable computed form (eV/atom): 0.000
Uncorrected energy (eV per atom): -3.6312



# 4
A plane-wave DFT calculation with PBE-GGA was carried out for an optimized crystal structure of Tm4PdPb2.

```
data_Tm4PdPb2
_cell_length_a 6.710
_cell_length_b 6.649
_cell_length_c 8.676
_cell_angle_alpha 90.00
_cell_angle_beta 100.49
_cell_angle_gamma 90.00
_symmetry_space_group_name_H-M 'P 1 21/m 1'
_symmetry_Int_Tables_number 11
_symmetry_space_group_name_Hall '-P 2yb'
loop_
_atom_site_label
_atom_site_type_symbol
_atom_site_fract_x
_atom_site_fract_y
_atom_site_fract_z
Tm1 Tm 0.157 0.008 0.287
Tm2 Tm 0.316 0.250 0.945
Tm3 Tm 0.339 0.750 0.671
Pd1 Pd 0.035 0.250 0.543
Pb1 Pb 0.171 0.750 0.976
Pb2 Pb 0.443 0.250 0.621
```

Results
Total moment (μB/f.u.): 0.00
Fermi-level density of states (states/eV per cell): 11.12
Uncorrected energy (eV per atom): -4.8271
Energy relative to the elements (eV/atom): -0.471



# 5
A plane-wave DFT calculation with PBE-GGA was carried out for an optimized crystal structure of NdPuOs.

```
data_NdPuOs
_cell_length_a 3.605
_cell_length_b 3.605
_cell_length_c 11.049
_cell_angle_alpha 90.00
_cell_angle_beta 90.00
_cell_angle_gamma 90.00
_symmetry_space_group_name_H-M 'I 4 m m'
_symmetry_Int_Tables_number 107
_symmetry_space_group_name_Hall 'I 4 -2'
loop_
_atom_site_label
_atom_site_type_symbol
_atom_site_fract_x
_atom_site_fract_y
_atom_site_fract_z
Nd1 Nd 0.000 0.000 0.000
Pu1 Pu 0.000 0.000 0.287
Os1 Os 0.000 0.000 0.686
```

Results
Total moment (μB/f.u.): 4.79
Fermi-level density of states (states/eV per cell): 11.44
Offset from the most stable computed form (eV/atom): 0.157
Uncorrected energy (eV per atom): -10.0303
Energy relative to the elements (eV/atom): 0.080



# 6
A plane-wave DFT calculation with PBE-GGA was carried out for an optimized crystal structure of TmZn11Co.

```
data_TmZn11Co
_cell_length_a 5.071
_cell_length_b 12.556
_cell_length_c 6.691
_cell_angle_alpha 90.00
_cell_angle_beta 111.88
_cell_angle_gamma 90.00
_symmetry_space_group_name_H-M 'C 1 2/m 1'
_symmetry_Int_Tables_number 12
_symmetry_space_group_name_Hall '-C 2y'
loop_
_atom_site_label
_atom_site_type_symbol
_atom_site_fract_x
_atom_site_fract_y
_atom_site_fract_z
Tm1 Tm 0.000 0.000 0.000
Zn1 Zn 0.000 0.500 0.500
Zn2 Zn 0.116 0.394 0.218
Zn3 Zn 0.160 0.170 0.358
Zn4 Zn 0.250 0.250 0.000
Co1 Co 0.000 0.000 0.500
```

Results
Total moment (μB/f.u.): 0.00
Fermi-level density of states (states/eV per cell): 11.69
Uncorrected energy (eV per atom): -2.1307
Energy relative to the elements (eV/atom): -0.162



# 7
A plane-wave DFT calculation with PBE-GGA was carried out for an optimized crystal structure of LiRe2.

```
data_LiRe2
_cell_length_a 4.4624
_cell_length_b 4.4624
_cell_length_c 5.3404
_cell_angle_alpha 90.00
_cell_angle_beta 90.00
_cell_angle_gamma 120.00
_symmetry_space_group_name_H-M 'P 63/m m c'
_symmetry_Int_Tables_number 194
_symmetry_space_group_name_Hall '-P 6c 2c'
loop_
_atom_site_label
_atom_site_type_symbol
_atom_site_fract_x
_atom_site_fract_y
_atom_site_fract_z
Li1 Li 0.0000 0.0000 0.2500
Re1 Re 0.3333 0.6667 0.0300
```

Results
Total moment (μB/f.u.): 0.00
Fermi-level density of states (states/eV per cell): 4.65
Offset from the most stable computed form (eV/atom): 0.319
Uncorrected energy (eV per atom): -8.5211
Energy relative to the elements (eV/atom): 0.416



# 8
A plane-wave DFT calculation with PBE-GGA was carried out for an optimized crystal structure of Tb12Y7Er.

```
data_Tb12Y7Er
_cell_length_a 18.5996
_cell_length_b 18.5996
_cell_length_c 6.7103
_cell_angle_alpha 90.00
_cell_angle_beta 90.00
_cell_angle_gamma 120.00
_symmetry_space_group_name_H-M 'R -3'
_symmetry_Int_Tables_number 148
_symmetry_space_group_name_Hall '-R 3'
loop_
_atom_site_label
_atom_site_type_symbol
_atom_site_fract_x
_atom_site_fract_y
_atom_site_fract_z
Tb1 Tb 0.0003 0.2130 0.2715
Tb2 Tb 0.0039 0.5324 0.7442
Y1 Y 0.0000 0.0000 0.5000
Y2 Y 0.0048 0.1549 0.7705
Er1 Er 0.0000 0.0000 0.0000
```

Results
Total moment (μB/f.u.): 0.00
Fermi-level density of states (states/eV per cell): 81.39
Offset from the most stable computed form (eV/atom): 0.021
Uncorrected energy (eV per atom): -4.9508
Energy relative to the elements (eV/atom): 0.318



# 9
A plane-wave DFT calculation with PBE-GGA was carried out for an optimized crystal structure of AlCSe2Br.

```
data_AlCSe2Br
_cell_length_a 4.942
_cell_length_b 4.942
_cell_length_c 4.918
_cell_angle_alpha 90.00
_cell_angle_beta 90.00
_cell_angle_gamma 90.00
_symmetry_space_group_name_H-M 'P 4/m m m'
_symmetry_Int_Tables_number 123
_symmetry_space_group_name_Hall '-P 4 2'
loop_
_atom_site_label
_atom_site_type_symbol
_atom_site_fract_x
_atom_site_fract_y
_atom_site_fract_z
Al1 Al 0.000 0.000 0.000
C1 C 0.500 0.500 0.500
Se1 Se 0.000 0.500 0.000
Br1 Br 0.000 0.000 0.500
```

Results
Total moment (μB/f.u.): 0.62
Fermi-level density of states (states/eV per cell): 4.40
Formation energy from raw total energies (eV/atom): 1.316
Offset from the most stable computed form (eV/atom): 0.346
Uncorrected energy (eV per atom): -3.0054



# 10
A plane-wave DFT calculation with PBE-GGA was carried out for an optimized crystal structure of TlMo2Ru.

```
data_TlMo2Ru
_cell_length_a 2.9155
_cell_length_b 2.9155
_cell_length_c 28.0786
_cell_angle_alpha 90.00
_cell_angle_beta 90.00
_cell_angle_gamma 120.00
_symmetry_space_group_name_H-M 'R 3 m'
_symmetry_Int_Tables_number 160
_symmetry_space_group_name_Hall 'R 3 -2"'
loop_
_atom_site_label
_atom_site_type_symbol
_atom_site_fract_x
_atom_site_fract_y
_atom_site_fract_z
Tl1 Tl 0.0000 0.0000 0.0000
Mo1 Mo 0.0000 0.0000 0.5069
Mo2 Mo 0.0000 0.0000 0.7567
Ru1 Ru 0.0000 0.0000 0.2458
```

Results
Total moment (μB/f.u.): 0.39
Fermi-level density of states (states/eV per cell): 15.11
Offset from the most stable computed form (eV/atom): 0.149
Uncorrected energy (eV per atom): -7.7861
Energy relative to the elements (eV/atom): 0.540



# 11
A plane-wave DFT calculation with PBE-GGA was carried out for an optimized crystal structure of CoBi.

```
data_CoBi
_cell_length_a 4.425
_cell_length_b 9.945
_cell_length_c 5.692
_cell_angle_alpha 90.00
_cell_angle_beta 90.00
_cell_angle_gamma 90.00
_symmetry_space_group_name_H-M 'P m m n'
_symmetry_Int_Tables_number 59
loop_
_symmetry_equiv_pos_as_xyz
'x,y,z'
'-x,-y,-z'
'-x+1/2,-y+1/2,z'
'x+1/2,y+1/2,-z'
'x+1/2,-y,-z'
'-x+1/2,y,z'
'-x,y+1/2,-z'
'x,-y+1/2,z'
loop_
_atom_site_label
_atom_site_type_symbol
_atom_site_fract_x
_atom_site_fract_y
_atom_site_fract_z
Co1 Co 0.250 0.032 0.136
Co2 Co 0.250 0.250 0.306
Bi1 Bi 0.250 0.080 0.666
Bi2 Bi 0.250 0.750 0.947
```

Results
Total moment (μB/f.u.): 1.20
Fermi-level density of states (states/eV per cell): 12.38
Uncorrected energy (eV per atom): -5.1184
Energy relative to the elements (eV/atom): 0.375



# 12
A plane-wave DFT calculation with PBE-GGA was carried out for an optimized crystal structure of PrNd2Rh9.

```
data_PrNd2Rh9
_cell_length_a 5.3360
_cell_length_b 5.3360
_cell_length_c 26.5997
_cell_angle_alpha 90.00
_cell_angle_beta 90.00
_cell_angle_gamma 120.00
_symmetry_space_group_name_H-M 'R -3 m'
_symmetry_Int_Tables_number 166
_symmetry_space_group_name_Hall '-R 3 2"'
loop_
_atom_site_label
_atom_site_type_symbol
_atom_site_fract_x
_atom_site_fract_y
_atom_site_fract_z
Pr1 Pr 0.0000 0.0000 0.0000
Nd1 Nd 0.0000 0.0000 0.1390
Rh1 Rh 0.0000 0.0000 0.3327
Rh2 Rh 0.0000 0.0000 0.5000
Rh3 Rh 0.0010 0.5005 0.0817
```

Results
Total moment (μB/f.u.): 0.00
Fermi-level density of states (states/eV per cell): 38.49
Uncorrected energy (eV per atom): -7.2079
Energy relative to the elements (eV/atom): -0.501